# 1
Here is a relaxed structure of KTl2Re from Alexandria via LeMat-Bulk. Energies are from PBE-GGA.

Summary:
The value obtained for the energy above the most stable polymorph in this dataset is 48.2 kJ/mol of atoms. Its crystal system is tetragonal.

Structure (CIF):
```
data_KTl2Re
_cell_length_a 4.924
_cell_length_b 4.924
_cell_length_c 4.250
_cell_angle_alpha 90.00
_cell_angle_beta 90.00
_cell_angle_gamma 90.00
_space_group_name_H-M_alt 'P 4/m m m'
_space_group_IT_number 123
_space_group_name_Hall '-P 4 2'
loop_
_atom_site_label
_atom_site_fract_x
_atom_site_fract_y
_atom_site_fract_z
_atom_site_occupancy
K1 0.000 0.000 0.000 1
Tl1 0.000 0.500 0.500 1
Re1 0.500 0.500 0.000 1
```

=====

# 2
Here is a relaxed structure of KTlRe2 from Alexandria via LeMat-Bulk. Energies are from PBE-GGA.

Summary:
The value obtained for the energy above the most stable polymorph in this dataset is 90.4 kJ/mol of atoms. Its crystal system is tetragonal.

Structure (CIF):
```
data_KTlRe2
_cell_length_a 2.751
_cell_length_b 2.751
_cell_length_c 10.863
_cell_angle_alpha 90.00
_cell_angle_beta 90.00
_cell_angle_gamma 90.00
_space_group_name_H-M_alt 'P 4/m m m'
_space_group_IT_number 123
_space_group_name_Hall '-P 4 2'
loop_
_atom_site_label
_atom_site_fract_x
_atom_site_fract_y
_atom_site_fract_z
_atom_site_occupancy
K1 0.000 0.000 0.000 1
Tl1 0.000 0.000 0.500 1
Re1 0.500 0.500 0.270 1
```

=====

# 3
Here is a relaxed structure of KTl2Re from Alexandria via LeMat-Bulk. Energies are from PBE-GGA.

Summary:
The value obtained for the energy above the most stable polymorph in this dataset is 12.0 kJ/mol of atoms. Its crystal system is monoclinic.

Structure (CIF):
```
data_KTl2Re
_cell_length_a 9.242
_cell_length_b 3.011
_cell_length_c 7.574
_cell_angle_alpha 90.00
_cell_angle_beta 95.43
_cell_angle_gamma 90.00
_space_group_name_H-M_alt 'C 1 2/m 1'
_space_group_IT_number 12
loop_
_space_group_symop_operation_xyz
'x,y,z'
'-x,-y,-z'
'-x,y,-z'
'x,-y,z'
'x+1/2,y+1/2,z'
'-x+1/2,-y+1/2,-z'
'-x+1/2,y+1/2,-z'
'x+1/2,-y+1/2,z'
loop_
_atom_site_label
_atom_site_fract_x
_atom_site_fract_y
_atom_site_fract_z
_atom_site_occupancy
K1 0.000 0.000 0.000 1
Tl1 0.238 0.000 0.689 1
Re1 0.000 0.500 0.500 1
```

=====

# 4
Here is a relaxed structure of KTlRe4 from Alexandria via LeMat-Bulk. Energies are from PBE-GGA.

Summary:
Its crystal system is cubic.

Structure (CIF):
```
data_KTlRe4
_cell_length_a 7.658
_cell_length_b 7.658
_cell_length_c 7.658
_cell_angle_alpha 90.00
_cell_angle_beta 90.00
_cell_angle_gamma 90.00
_space_group_name_H-M_alt 'F -4 3 m'
_space_group_IT_number 216
_space_group_name_Hall 'F -4 2 3'
loop_
_atom_site_label
_atom_site_fract_x
_atom_site_fract_y
_atom_site_fract_z
_atom_site_occupancy
K1 0.000 0.000 0.000 1
Tl1 0.250 0.250 0.250 1
Re1 0.125 0.125 0.625 1
```

=====

# 5
Here is a relaxed structure of KTlRe2 from Alexandria via LeMat-Bulk. Energies are from PBE-GGA.

Summary:
The value obtained for the energy above the most stable polymorph in this dataset is 86.0 kJ/mol of atoms. Its crystal system is cubic.

Structure (CIF):
```
data_KTlRe2
_cell_length_a 6.748
_cell_length_b 6.748
_cell_length_c 6.748
_cell_angle_alpha 90.00
_cell_angle_beta 90.00
_cell_angle_gamma 90.00
_space_group_name_H-M_alt 'F -4 3 m'
_space_group_IT_number 216
_space_group_name_Hall 'F -4 2 3'
loop_
_atom_site_label
_atom_site_fract_x
_atom_site_fract_y
_atom_site_fract_z
_atom_site_occupancy
K1 0.000 0.000 0.000 1
Tl1 0.250 0.250 0.250 1
Re1 0.000 0.000 0.500 1
Re2 0.250 0.250 0.750 1
```

=====

# 6
Here is a relaxed structure of KTlRe2 from Alexandria via LeMat-Bulk. Energies are from PBE-GGA.

Summary:
The value obtained for the energy above the most stable polymorph in this dataset is 104.6 kJ/mol of atoms. Its crystal system is tetragonal.

Structure (CIF):
```
data_KTlRe2
_cell_length_a 3.955
_cell_length_b 3.955
_cell_length_c 5.226
_cell_angle_alpha 90.00
_cell_angle_beta 90.00
_cell_angle_gamma 90.00
_space_group_name_H-M_alt 'P 4/m m m'
_space_group_IT_number 123
_space_group_name_Hall '-P 4 2'
loop_
_atom_site_label
_atom_site_fract_x
_atom_site_fract_y
_atom_site_fract_z
_atom_site_occupancy
K1 0.000 0.000 0.000 1
Tl1 0.500 0.500 0.000 1
Re1 0.000 0.500 0.500 1
```

=====

# 7
Here is a relaxed structure of K2TlRe from Alexandria via LeMat-Bulk. Energies are from PBE-GGA.

Summary:
The value obtained for the energy above the most stable polymorph in this dataset is 32.4 kJ/mol of atoms. Its crystal system is tetragonal.

Structure (CIF):
```
data_K2TlRe
_cell_length_a 5.519
_cell_length_b 5.519
_cell_length_c 7.841
_cell_angle_alpha 90.00
_cell_angle_beta 90.00
_cell_angle_gamma 90.00
_space_group_name_H-M_alt 'I -4 m 2'
_space_group_IT_number 119
_space_group_name_Hall 'I -4 -2'
loop_
_atom_site_label
_atom_site_fract_x
_atom_site_fract_y
_atom_site_fract_z
_atom_site_occupancy
K1 0.000 0.000 0.000 1
K2 0.000 0.500 0.250 1
Tl1 0.000 0.000 0.500 1
Re1 0.000 0.500 0.750 1
```

=====

# 8
Here is a relaxed structure of KTlRe2 from Alexandria via LeMat-Bulk. Energies are from PBE-GGA.

Summary:
The value obtained for the energy above the most stable polymorph in this dataset is 93.8 kJ/mol of atoms. Its crystal system is tetragonal.

Structure (CIF):
```
data_KTlRe2
_cell_length_a 3.675
_cell_length_b 3.675
_cell_length_c 7.504
_cell_angle_alpha 90.00
_cell_angle_beta 90.00
_cell_angle_gamma 90.00
_space_group_name_H-M_alt 'P 4/m m m'
_space_group_IT_number 123
_space_group_name_Hall '-P 4 2'
loop_
_atom_site_label
_atom_site_fract_x
_atom_site_fract_y
_atom_site_fract_z
_atom_site_occupancy
K1 0.000 0.000 0.000 1
Tl1 0.000 0.000 0.500 1
Re1 0.500 0.500 0.346 1
```

=====

Formation energy from the elements / meV per atom: 1174; 1543; 799; 1090; 1498; 1691; 1262; 1579
Magnetization / μB/cell: 2.5; 0.0; 0.0; 0.0; 0.0; 0.0; 6.5; 0.7